[1]
Below is TaPd2Pt5 after structural relaxation, with properties calculated at the PBE-GGA level.

Summary:
Total magnetization in μB per cell: 0.0
Excess energy over the best structure of this formula in the dataset in meV per atom: 0
VASP energy in eV per atom: -6.990

Cell lengths 8.357, 8.357, 8.357 Å; angles 152.26, 152.26, 39.63 degrees
Fractional coordinates of all 8 atoms:
Ta1 0.000 0.000 0.000
Pd1 0.253 0.253 0.000
Pd2 0.747 0.747 0.000
Pt1 0.121 0.621 0.500
Pt2 0.379 0.879 0.500
Pt3 0.500 0.500 0.000
Pt4 0.621 0.121 0.500
Pt5 0.879 0.379 0.500

[2]
Below is Rb3Er3VS8 after structural relaxation, with properties calculated at the PBE-GGA level.

Summary:
Total magnetization in μB per cell: 1.0
ΔE_f (raw) in eV per atom: -1.589
VASP energy in eV per atom: -5.504

Cell lengths 9.032, 9.032, 9.032 Å; angles 51.04, 51.04, 51.04 degrees
Fractional coordinates of all 15 atoms:
Rb1 0.000 0.500 0.500
Rb2 0.500 0.000 0.500
Rb3 0.500 0.500 0.000
Er1 0.000 0.000 0.500
Er2 0.000 0.500 0.000
Er3 0.500 0.000 0.000
V1 0.500 0.500 0.500
S1 0.231 0.231 0.231
S2 0.255 0.711 0.711
S3 0.289 0.289 0.745
S4 0.289 0.745 0.289
S5 0.711 0.255 0.711
S6 0.711 0.711 0.255
S7 0.745 0.289 0.289
S8 0.769 0.769 0.769

[3]
Below is Rb3Tl4Pd after structural relaxation, with properties calculated at the PBE-GGA level.

Summary:
Total magnetization in μB per cell: 0.0
Excess energy over the best structure of this formula in the dataset in meV per atom: 10
VASP energy in eV per atom: -2.275

Cell lengths 7.698, 7.698, 7.698 Å; angles 127.28, 115.62, 87.81 degrees
Fractional coordinates of all 8 atoms:
Rb1 0.000 0.000 0.000
Rb2 0.403 0.637 0.767
Rb3 0.870 0.637 0.233
Tl1 0.385 0.120 0.735
Tl2 0.385 0.649 0.265
Tl3 0.606 0.300 0.306
Tl4 0.994 0.300 0.694
Pd1 0.593 0.093 0.500

VASP energy of number 3 (Rb3Tl4Pd)? -2.275 eV per atom

Look up the VASP energy of the third one. -2.275 eV per atom

What is the total magnetization in the second record? 1.0 μB per cell